[1]
A relaxed AlIn2SnS6 crystal. Source: Alexandria via LeMat-Bulk, functional PBE.

For the formation energy (no corrections), the calculation gives -5.50 eV per formula unit.

Geometry as POSCAR:
```
AlIn2SnS6
1.0
-5.731 -1.372 -3.659
1.747 -7.673 -4.068
-5.583 -3.577 5.875
S Sn Al In
12 2 2 4
direct
0.486 0.532 0.709
0.064 0.646 0.098
0.936 0.354 0.902
0.986 0.709 0.532
0.014 0.291 0.468
0.564 0.098 0.646
0.164 0.935 0.812
0.436 0.902 0.354
0.664 0.812 0.935
0.514 0.468 0.291
0.336 0.188 0.065
0.836 0.065 0.188
0.250 0.902 0.098
0.750 0.098 0.902
0.250 0.169 0.831
0.750 0.831 0.169
0.349 0.708 0.532
0.151 0.468 0.292
0.651 0.292 0.468
0.849 0.532 0.708
```

---

[2]
A relaxed In3H12Ru5 crystal. Source: Alexandria via LeMat-Bulk, functional PBE.

For the total DFT energy (no corrections), the calculation gives -89.55 eV/f.u.

Geometry as POSCAR:
```
In3H12Ru5
1.0
-3.488 -8.777 -2.602
2.161 -0.047 9.555
-6.761 6.861 -1.785
In H Ru
12 48 20
direct
0.875 0.125 0.250
0.125 0.250 0.875
0.125 0.875 0.750
0.375 0.750 0.625
0.625 0.250 0.375
0.875 0.750 0.125
0.750 0.875 0.625
0.250 0.625 0.875
0.750 0.375 0.125
0.375 0.625 0.250
0.250 0.125 0.375
0.625 0.375 0.750
0.189 0.068 0.997
0.929 0.621 0.932
0.308 0.929 0.997
0.503 0.192 0.071
0.932 0.811 0.503
0.497 0.808 0.929
0.068 0.879 0.071
0.071 0.379 0.068
0.929 0.308 0.497
0.568 0.997 0.689
0.121 0.189 0.192
0.429 0.997 0.808
0.692 0.071 0.003
0.571 0.003 0.192
0.808 0.311 0.879
0.192 0.689 0.121
0.692 0.621 0.189
0.689 0.192 0.621
0.189 0.121 0.692
0.997 0.429 0.308
0.003 0.571 0.692
0.192 0.503 0.571
0.621 0.929 0.432
0.497 0.689 0.068
0.568 0.571 0.379
0.068 0.189 0.497
0.308 0.379 0.811
0.432 0.003 0.311
0.879 0.811 0.808
0.379 0.071 0.568
0.121 0.932 0.429
0.429 0.432 0.121
0.879 0.068 0.571
0.808 0.497 0.429
0.997 0.568 0.189
0.071 0.692 0.503
0.311 0.503 0.432
0.621 0.692 0.689
0.811 0.932 0.003
0.432 0.429 0.621
0.379 0.308 0.311
0.932 0.121 0.929
0.311 0.808 0.379
0.571 0.568 0.879
0.503 0.311 0.932
0.811 0.879 0.308
0.689 0.497 0.568
0.003 0.432 0.811
0.875 0.625 0.750
0.500 0.000 0.000
0.000 0.000 0.000
0.500 0.000 0.500
0.250 0.375 0.625
0.875 0.250 0.625
0.250 0.875 0.125
0.125 0.750 0.375
0.500 0.500 0.000
0.500 0.500 0.500
0.000 0.000 0.500
0.750 0.125 0.875
0.625 0.750 0.875
0.125 0.375 0.250
0.625 0.875 0.250
0.750 0.625 0.375
0.375 0.125 0.750
0.375 0.250 0.125
0.000 0.500 0.000
0.000 0.500 0.500
```

---

[3]
A relaxed Tl4ZnI6 crystal. Source: Alexandria via LeMat-Bulk, functional PBE.

For the formation energy (no corrections), the calculation gives -6.80 eV per formula unit.

Geometry as POSCAR:
```
Tl4ZnI6
1.0
-8.072 -0.457 2.991
-4.221 -7.826 -0.165
1.413 -7.240 15.127
I Zn Tl
12 2 8
direct
0.705 0.724 0.257
0.977 0.083 0.972
0.552 0.630 0.755
0.969 0.583 0.472
0.903 0.055 0.629
0.425 0.668 0.504
0.314 0.224 0.757
0.413 0.555 0.129
0.942 0.625 0.898
0.535 0.125 0.398
0.403 0.168 0.004
0.063 0.130 0.255
0.145 0.285 0.909
0.661 0.785 0.409
0.814 0.297 0.430
0.459 0.797 0.930
0.731 0.136 0.178
0.956 0.636 0.678
0.294 0.695 0.314
0.326 0.989 0.609
0.076 0.489 0.109
0.698 0.195 0.814
```

---

[4]
A relaxed CaTlCu2 crystal. Source: Alexandria via LeMat-Bulk, functional PBE.

The calculation puts the formation energy at 31 meV per atom.

Geometry as POSCAR:
```
CaTlCu2
1.0
-1.032 1.948 3.775
-2.507 -2.435 0.571
3.807 -3.282 2.734
Cu Ca Tl
2 1 1
direct
0.000 0.250 0.970
0.000 0.250 0.530
0.500 0.750 0.750
0.500 0.250 0.250
```

---

[5]
A relaxed BaHf2Ag2 crystal. Source: Alexandria via LeMat-Bulk, functional PBE.

The calculation puts the formation energy at 285 meV per atom.

Geometry as POSCAR:
```
BaHf2Ag2
1.0
-1.363 -5.663 -6.626
0.648 -6.754 5.639
-3.044 0.135 0.511
Hf Ag Ba
4 4 2
direct
0.621 0.121 0.000
0.879 0.621 0.000
0.121 0.379 0.000
0.379 0.879 0.000
0.172 0.672 0.500
0.828 0.328 0.500
0.672 0.828 0.500
0.328 0.172 0.500
0.500 0.500 0.000
0.000 0.000 0.000
```

---

[6]
A relaxed Ba2Y crystal. Source: Alexandria via LeMat-Bulk, functional PBE.

The energy above the lowest structure with this stoichiometry comes out at 0.000 eV per atom. The calculation puts the formation energy at 174 meV per atom.

Geometry as POSCAR:
```
Ba2Y
1.0
2.148 7.236 -0.057
-2.148 7.236 -0.057
0.000 3.855 9.647
Ba Y
4 2
direct
0.167 0.167 0.389
0.833 0.833 0.611
0.514 0.514 0.791
0.486 0.486 0.209
0.185 0.185 0.937
0.815 0.815 0.063
```

---

[7]
A relaxed SiP2H18C6Cl4 crystal. Source: Alexandria via LeMat-Bulk, functional PBE.

For the total DFT energy (no corrections), the calculation gives -151.42 eV/f.u.

Geometry as POSCAR:
```
SiP2H18C6Cl4
1.0
6.949 0.000 0.101
0.000 8.633 0.000
-2.725 0.000 13.343
H Cl C P Si
36 8 12 4 2
direct
0.610 0.265 0.241
0.540 0.232 0.978
0.764 0.067 0.743
0.390 0.765 0.259
0.061 0.204 0.307
0.397 0.592 0.079
0.102 0.945 0.669
0.258 0.846 0.461
0.610 0.235 0.741
0.764 0.433 0.243
0.603 0.408 0.921
0.236 0.567 0.757
0.556 0.060 0.803
0.603 0.092 0.421
0.444 0.940 0.197
0.236 0.933 0.257
0.898 0.055 0.331
0.258 0.654 0.961
0.061 0.296 0.807
0.094 0.381 0.928
0.906 0.619 0.072
0.742 0.154 0.539
0.898 0.445 0.831
0.460 0.732 0.522
0.444 0.560 0.697
0.460 0.768 0.022
0.939 0.704 0.193
0.094 0.119 0.428
0.102 0.555 0.169
0.390 0.735 0.759
0.742 0.346 0.039
0.939 0.796 0.693
0.556 0.440 0.303
0.397 0.908 0.579
0.540 0.268 0.478
0.906 0.881 0.572
0.779 0.993 0.100
0.837 0.812 0.904
0.779 0.507 0.600
0.221 0.493 0.400
0.837 0.688 0.404
0.221 0.007 0.900
0.163 0.312 0.596
0.163 0.188 0.096
0.339 0.807 0.534
0.673 0.134 0.785
0.661 0.307 0.966
0.339 0.693 0.034
0.014 0.845 0.637
0.327 0.634 0.715
0.986 0.155 0.363
0.661 0.193 0.466
0.327 0.866 0.215
0.673 0.366 0.285
0.986 0.345 0.863
0.014 0.655 0.137
0.175 0.800 0.099
0.175 0.700 0.599
0.825 0.200 0.901
0.825 0.300 0.401
0.000 0.500 0.500
0.000 0.000 0.000
```

---

[8]
A relaxed Pm3In2Au2 crystal. Source: Alexandria via LeMat-Bulk, functional PBE.

The calculation puts the formation energy at -653 meV per atom.

Geometry as POSCAR:
```
Pm3In2Au2
1.0
-2.109 -0.422 -4.004
0.962 -3.493 -0.138
-10.461 -3.008 3.247
In Au Pm
2 2 3
direct
0.421 0.500 0.157
0.579 0.500 0.843
0.712 0.500 0.576
0.288 0.500 0.424
0.165 0.000 0.670
0.835 0.000 0.330
0.000 0.000 0.000
```